1.
The following is a GGA-PBE calculation of crystalline Cs2ZnIn3Sn4 at its relaxed geometry, from Alexandria.

formation enthalpy at 0 K	-134	meV/atom
uncorrected energy	-2.8544	eV per atom

Lattice parameters (Å, degrees): 5.207 5.207 12.080 90.00 90.00 90.00
Element x y z (fractional)
Sn (0.000, 0.000, 0.000)
Sn (0.000, 0.500, 0.379)
Sn (0.500, 0.500, 0.000)
Sn (0.500, 0.000, 0.621)
In (0.500, 0.000, 0.867)
In (0.000, 0.500, 0.133)
In (0.000, 0.000, 0.500)
Cs (0.000, 0.500, 0.743)
Cs (0.500, 0.000, 0.257)
Zn (0.500, 0.500, 0.500)

***

2.
The following is a GGA-PBE calculation of crystalline Na2Si2Hg at its relaxed geometry, from Alexandria.

energy relative to the lowest polymorph listed for this composition	0	meV/atom
uncorrected energy	-2.6962	eV per atom

Lattice parameters (Å, degrees): 3.477 3.477 9.989 79.98 79.98 90.00
Element x y z (fractional)
Na (0.386, 0.386, 0.227)
Na (0.614, 0.614, 0.773)
Si (0.750, 0.250, 0.500)
Si (0.250, 0.750, 0.500)
Hg (0.000, 0.000, 0.000)

***

3.
The following is a GGA-PBE calculation of crystalline LiTcSb2 at its relaxed geometry, from Alexandria.

energy relative to the lowest polymorph listed for this composition	0	meV/atom
uncorrected energy	-5.3033	eV per atom

Lattice parameters (Å, degrees): 3.249 3.256 8.045 73.12 90.00 90.00
Element x y z (fractional)
Sb (0.000, 0.911, 0.035)
Sb (0.000, 0.589, 0.465)
Tc (0.500, 0.250, 0.250)
Li (0.500, 0.750, 0.750)

***

4.
The following is a GGA-PBE calculation of crystalline AgH8Pd5 at its relaxed geometry, from Alexandria.

uncorrected energy	-3.9893	eV per atom

Lattice parameters (Å, degrees): 2.901 7.120 7.558 56.24 97.47 86.55
Element x y z (fractional)
H (0.769, 0.455, 0.622)
H (0.225, 0.238, 0.383)
H (0.483, 0.800, 0.988)
H (0.720, 0.779, 0.619)
H (0.465, 0.098, 0.035)
H (0.850, 0.081, 0.741)
H (0.156, 0.588, 0.347)
H (0.084, 0.932, 0.293)
Pd (0.220, 0.639, 0.572)
Pd (0.546, 0.101, 0.269)
Pd (0.994, 0.914, 0.055)
Pd (0.356, 0.959, 0.693)
Pd (0.708, 0.403, 0.407)
Ag (0.924, 0.513, 0.977)

***

5.
The following is a GGA-PBE calculation of crystalline YMnW2 at its relaxed geometry, from Alexandria.

energy relative to the lowest polymorph listed for this composition	0	meV/atom
formation enthalpy at 0 K	336	meV/atom
uncorrected energy	-10.0492	eV per atom

Lattice parameters (Å, degrees): 3.220 3.220 7.137 90.00 90.00 90.00
Last column: magnetic moment on the atom in μB.
Element x y z (fractional)
W (0.500, 0.500, 0.201)  0.22
W (0.000, 0.000, 0.998)  -0.39
Mn (0.500, 0.500, 0.803)  2.83
Y (0.000, 0.000, 0.497)  -0.08

***

6.
The following is a GGA-PBE calculation of crystalline CoReAu2 at its relaxed geometry, from Alexandria.

energy relative to the lowest polymorph listed for this composition	71	meV/atom
formation enthalpy at 0 K	268	meV/atom
uncorrected energy	-6.2588	eV per atom

Lattice parameters (Å, degrees): 9.389 9.389 9.389 17.10 17.10 17.10
Last column: magnetic moment on the atom in μB.
Element x y z (fractional)
Re (0.759, 0.759, 0.759)  0.09
Au (0.003, 0.003, 0.003)  0.03
Au (0.243, 0.243, 0.243)  0.05
Co (0.495, 0.495, 0.495)  1.31

***

Number 6 is which compound? CoReAu2